Density functional theory data (GGA-PBEsol) for a geometry-optimized MoRhBr3 structure.

Calculated values
Energy above the lowest structure with this stoichiometry, kJ/mol of formula units: 0
E_form (uncorrected), eV per atom: 0.77
Theoretical density, g cm⁻³: 5.98
Crystal system: cubic
Spin magnetization, μB per formula unit: 4.61
Density of states at the Fermi level, states/eV per cell: 5.54
Space-group type: No. 221

a b c (Å): 4.956 4.956 4.956
angles (deg): 90.00 90.00 90.00
Fractional coordinates of all 5 atoms:
Mo1 0.000 0.000 0.000
Rh1 0.500 0.500 0.500
Br1 0.000 0.500 0.500
Br2 0.500 0.000 0.500
Br3 0.500 0.500 0.000